(1)
Density functional theory data (SCAN) for a crystal of IrAu relaxed with PBEsol.

```
IrAu
1.0
-2.637 0.088 -0.837
-1.353 -2.070 4.043
1.492 5.302 0.436
Au Ir
2 2
direct
0.118 0.368 0.235
0.882 0.632 0.765
0.362 0.112 0.725
0.638 0.888 0.275
```

Results
Size of the total moment ... 0.00 μB/f.u.
Energy above the lowest structure with this stoichiometry ... 0.0000 eV per atom

---

(2)
Density functional theory data (SCAN) for a crystal of CoPAu relaxed with PBEsol.

```
CoPAu
1.0
-3.570 1.345 1.154
-3.181 -2.396 -0.163
-1.647 -1.356 3.366
Co Au P
1 1 1
direct
0.250 0.250 0.250
0.500 0.500 0.500
0.000 0.000 0.000
```

Results
Size of the total moment ... 1.58 μB/f.u.
Final energy ... -96.2 eV per cell

---

(3)
Density functional theory data (SCAN) for a crystal of CrReNi2 relaxed with PBEsol.

```
CrReNi2
1.0
3.501 0.000 0.000
0.000 3.501 0.000
0.000 0.000 3.773
Re Ni Cr
1 2 1
direct
0.500 0.500 0.500
0.000 0.500 0.000
0.500 0.000 0.000
0.000 0.000 0.500
```

Results
Size of the total moment ... 1.46 μB/f.u.
Energy above the lowest structure with this stoichiometry ... 0.0060 eV per atom

---

(4)
Density functional theory data (SCAN) for a crystal of YCu2Ir relaxed with PBEsol.

```
YCu2Ir
1.0
-2.301 2.112 0.454
-2.389 -2.460 -0.661
-0.146 -1.359 5.585
Y Ir Cu
1 1 2
direct
0.500 0.500 0.742
0.000 0.000 0.474
0.500 0.500 0.240
0.000 0.000 0.043
```

Results
Size of the total moment ... 0.00 μB/f.u.
Energy above the lowest structure with this stoichiometry ... 0.1274 eV per atom

---

(5)
Density functional theory data (SCAN) for a crystal of FeMoAs2 relaxed with PBEsol.

```
FeMoAs2
1.0
-0.930 -0.575 4.220
2.031 -3.115 2.275
2.927 1.081 3.044
As Fe Mo
2 1 1
direct
0.750 0.750 0.750
0.000 0.000 0.000
0.500 0.500 0.500
0.250 0.250 0.250
```

Results
Size of the total moment ... 2.88 μB/f.u.
Final energy ... -91.7 eV per cell

---

(6)
Density functional theory data (SCAN) for a crystal of NbBrN2F relaxed with PBEsol.

```
NbBrN2F
1.0
-1.329 3.408 -1.375
-4.047 -1.774 -0.483
-1.046 1.260 4.133
Br N F Nb
1 2 1 1
direct
0.500 0.500 0.500
0.000 0.500 0.000
0.000 0.000 0.500
0.000 0.000 0.000
0.500 0.000 0.000
```

Results
Size of the total moment ... 3.00 μB/f.u.
Formation energy from raw total energies ... 1272 meV per atom

---

(7)
Density functional theory data (SCAN) for a crystal of CaCuH3 relaxed with PBEsol.

```
CaCuH3
1.0
-1.230 -0.666 3.274
-2.967 -1.385 -1.397
1.535 -3.211 -0.077
H Ca Cu
3 1 1
direct
0.000 0.500 0.000
0.500 0.000 0.000
0.000 0.000 0.500
0.500 0.500 0.500
0.000 0.000 0.000
```

Results
Size of the total moment ... 0.00 μB/f.u.
Final energy ... -37.0 eV per cell

---

(8)
Density functional theory data (SCAN) for a crystal of KInOs2 relaxed with PBEsol.

```
KInOs2
1.0
2.896 0.000 0.000
0.000 2.896 0.000
0.000 0.000 9.501
Os K In
2 1 1
direct
0.000 0.000 0.061
0.500 0.500 0.222
0.500 0.500 0.768
0.000 0.000 0.448
```

Results
Size of the total moment ... 0.49 μB/f.u.
Final energy ... -183.5 eV per cell

---

(9)
Density functional theory data (SCAN) for a crystal of Ta2MnIn relaxed with PBEsol.

```
Ta2MnIn
1.0
-2.755 0.803 -0.592
-0.091 -1.933 -2.200
-2.622 -5.407 4.860
Ta Mn In
2 1 1
direct
0.000 0.000 0.701
0.000 0.000 0.299
0.500 0.500 0.500
0.500 0.500 0.000
```

Results
Size of the total moment ... 0.00 μB/f.u.
Final energy ... -184.8 eV per cell

---

(10)
Density functional theory data (SCAN) for a crystal of Sr2CoCl2O2 relaxed with PBEsol.

```
Sr2CoCl2O2
1.0
3.976 0.000 0.000
0.000 3.976 0.000
-1.988 -1.988 7.541
O Cl Sr Co
2 2 2 1
direct
0.000 0.500 0.000
0.500 0.000 0.000
0.179 0.179 0.359
0.821 0.821 0.641
0.607 0.607 0.215
0.393 0.393 0.785
0.000 0.000 0.000
```

Results
Size of the total moment ... 2.62 μB/f.u.
Energy above the lowest structure with this stoichiometry ... 0.0000 eV per atom
Formation energy from raw total energies ... -2423 meV per atom

---

(11)
Density functional theory data (SCAN) for a crystal of Zr2MoAu relaxed with PBEsol.

```
Zr2MoAu
1.0
4.070 0.000 0.000
0.000 4.070 0.000
-2.035 -2.035 4.461
Mo Au Zr
1 1 2
direct
0.250 0.750 0.500
0.500 0.500 0.000
0.750 0.250 0.500
0.000 0.000 0.000
```

Results
Size of the total moment ... 0.00 μB/f.u.
Energy above the lowest structure with this stoichiometry ... 0.1985 eV per atom

---

(12)
Density functional theory data (SCAN) for a crystal of Mn3TePd relaxed with PBEsol.

```
Mn3TePd
1.0
-1.504 0.837 4.430
4.226 -1.365 1.692
1.570 4.475 -0.313
Pd Mn Te
1 3 1
direct
0.000 0.000 0.000
0.000 0.000 0.500
0.500 0.000 0.000
0.000 0.500 0.000
0.500 0.500 0.500
```

Results
Size of the total moment ... 13.49 μB/f.u.
Formation energy from raw total energies ... 178 meV per atom

---

Respective DOS at the Fermi energy values: 3.0, 1.1, 3.0, 1.6, 2.7, 1.1, 0.2, 3.0, 2.1, 0.6, 3.3, 3.3 states/eV/cell.